YAg3S3: relaxed, GGA-PBE.

Results
ρ = 5.523 g cm⁻³
Calculated volume = 305.9 Å³ per cell
Symmetry = R-3 (148)
ΔE_f (raw) = -0.740 eV/atom

a = 7.259 Å, b = 7.259 Å, c = 7.906 Å
α = 62.67°, β = 62.67°, γ = 60.00°
Fractional positions:
Y  0.335  0.335  0.996
Y  0.665  0.665  0.004
Ag  0.434  0.806  0.632
Ag  0.806  0.128  0.632
Ag  0.128  0.434  0.632
Ag  0.872  0.566  0.368
Ag  0.194  0.872  0.368
Ag  0.566  0.194  0.368
S  0.279  0.570  0.222
S  0.930  0.279  0.222
S  0.570  0.930  0.222
S  0.430  0.070  0.778
S  0.070  0.721  0.778
S  0.721  0.430  0.778